This record from Alexandria via LeMat-Bulk describes an optimized crystal structure of P3IrN. The functional is GGA-PBE.

Its offset from the most stable computed form is 1022.4 meV per atom. For the total energy, the calculation gives -4.88 eV per atom. As for the uncorrected formation energy: 9.00 eV per formula unit. As for the density of states at the Fermi level: 6.79 states/eV/f.u.

The space group is Pm-3m (No. 221) and the conventional cell measures 4.568, 4.568 and 4.568 Å, with angles of 90.00, 90.00 and 90.00 degrees. The distinct sites, in fractional coordinates, are P at (0.000, 0.000, 0.500), Ir at (0.000, 0.000, 0.000) and N at (0.500, 0.500, 0.500).

---

This record from Alexandria via LeMat-Bulk describes an optimized crystal structure of PaPIrN. The functional is GGA-PBE.

For the total energy, the calculation gives -9.33 eV per atom. As for the uncorrected formation energy: -5.22 eV per formula unit. As for the density of states at the Fermi level: 1.60 states/eV/f.u.

The space group is P4/nmm (No. 129, origin choice 2) and the conventional cell measures 3.922, 3.922 and 8.042 Å, with angles of 90.00, 90.00 and 90.00 degrees. The distinct sites, in fractional coordinates, are Pa at (0.250, 0.250, 0.149), P at (0.250, 0.250, 0.669), Ir at (0.250, 0.750, 0.500) and N at (0.250, 0.750, 0.000).

---

- Look up the density of states at the Fermi level of the second one.
  1.60 states/eV/f.u.